(1)
# Sc4CrHg | Alexandria | PBE | relaxed
# magnetic moment	13.9	μB/cell
# ΔE_f	2.55	eV per formula unit
# calculated total energy	-5.45	eV/atom
data_Sc4CrHg
_symmetry_space_group_name_H-M 'F -4 3 m'
_symmetry_Int_Tables_number 216
_symmetry_space_group_name_Hall 'F -4 2 3'
_cell_length_a 8.1320
_cell_length_b 8.1320
_cell_length_c 8.1320
_cell_angle_alpha 90.00
_cell_angle_beta 90.00
_cell_angle_gamma 90.00
loop_
_atom_site_label
_atom_site_type_symbol
_atom_site_fract_x
_atom_site_fract_y
_atom_site_fract_z
Sc1 Sc 0.1241 0.1241 0.1241
Cr1 Cr 0.2500 0.2500 0.7500
Hg1 Hg 0.0000 0.0000 0.5000



(2)
# ScCrHg2 | Alexandria | PBE | relaxed
# magnetic moment	8.0	μB/cell
# ΔE_f	0.38	eV per formula unit
# distance to the lowest polymorph of the same formula	138	meV per atom
# calculated total energy	-4.04	eV/atom
data_ScCrHg2
_symmetry_space_group_name_H-M 'I -4 m 2'
_symmetry_Int_Tables_number 119
_symmetry_space_group_name_Hall 'I -4 -2'
_cell_length_a 4.3432
_cell_length_b 4.3432
_cell_length_c 8.5564
_cell_angle_alpha 90.00
_cell_angle_beta 90.00
_cell_angle_gamma 90.00
loop_
_atom_site_label
_atom_site_type_symbol
_atom_site_fract_x
_atom_site_fract_y
_atom_site_fract_z
Sc1 Sc 0.0000 0.0000 0.0000
Cr1 Cr 0.0000 0.5000 0.7500
Hg1 Hg 0.0000 0.0000 0.5000
Hg2 Hg 0.0000 0.5000 0.2500



(3)
# ScCrHg2 | Alexandria | PBE | relaxed
# magnetic moment	15.8	μB/cell
# ΔE_f	1.40	eV per formula unit
# distance to the lowest polymorph of the same formula	393	meV per atom
# calculated total energy	-3.79	eV/atom
data_ScCrHg2
_symmetry_space_group_name_H-M 'I -4 2 d'
_symmetry_Int_Tables_number 122
_symmetry_space_group_name_Hall 'I -4 2bw'
_cell_length_a 4.2992
_cell_length_b 4.2992
_cell_length_c 19.9032
_cell_angle_alpha 90.00
_cell_angle_beta 90.00
_cell_angle_gamma 90.00
loop_
_atom_site_label
_atom_site_type_symbol
_atom_site_fract_x
_atom_site_fract_y
_atom_site_fract_z
Sc1 Sc 0.0000 0.0000 0.0000
Cr1 Cr 0.0000 0.0000 0.5000
Hg1 Hg 0.2356 0.2500 0.6250



(4)
# ScCrHg2 | Alexandria | PBE | relaxed
# magnetic moment	9.1	μB/cell
# ΔE_f	0.97	eV per formula unit
# distance to the lowest polymorph of the same formula	285	meV per atom
# calculated total energy	-3.90	eV/atom
data_ScCrHg2
_symmetry_space_group_name_H-M 'R 3 m'
_symmetry_Int_Tables_number 160
_symmetry_space_group_name_Hall 'R 3 -2"'
_cell_length_a 3.3198
_cell_length_b 3.3198
_cell_length_c 27.2770
_cell_angle_alpha 90.00
_cell_angle_beta 90.00
_cell_angle_gamma 120.00
loop_
_atom_site_label
_atom_site_type_symbol
_atom_site_fract_x
_atom_site_fract_y
_atom_site_fract_z
Sc1 Sc 0.0000 0.0000 0.0000
Cr1 Cr 0.0000 0.0000 0.2552
Hg1 Hg 0.0000 0.0000 0.5102
Hg2 Hg 0.0000 0.0000 0.7522



(5)
# Sc2Cr2Hg | Alexandria | PBE | relaxed
# magnetic moment	0.0	μB/cell
# ΔE_f	0.55	eV per formula unit
# calculated total energy	-6.33	eV/atom
data_Sc2Cr2Hg
_symmetry_space_group_name_H-M 'P 4/m b m'
_symmetry_Int_Tables_number 127
_symmetry_space_group_name_Hall '-P 4 2ab'
_cell_length_a 6.7938
_cell_length_b 6.7938
_cell_length_c 3.9775
_cell_angle_alpha 90.00
_cell_angle_beta 90.00
_cell_angle_gamma 90.00
loop_
_atom_site_label
_atom_site_type_symbol
_atom_site_fract_x
_atom_site_fract_y
_atom_site_fract_z
Sc1 Sc 0.1830 0.3170 0.0000
Cr1 Cr 0.0997 0.5997 0.5000
Hg1 Hg 0.0000 0.0000 0.5000



(6)
# ScCrHg2 | Alexandria | PBE | relaxed
# magnetic moment	16.7	μB/cell
# ΔE_f	-0.17	eV per formula unit
# distance to the lowest polymorph of the same formula	0	meV per atom
# calculated total energy	-4.18	eV/atom
data_ScCrHg2
_symmetry_space_group_name_H-M 'F m -3 m'
_symmetry_Int_Tables_number 225
_symmetry_space_group_name_Hall '-F 4 2 3'
_cell_length_a 6.8510
_cell_length_b 6.8510
_cell_length_c 6.8510
_cell_angle_alpha 90.00
_cell_angle_beta 90.00
_cell_angle_gamma 90.00
loop_
_atom_site_label
_atom_site_type_symbol
_atom_site_fract_x
_atom_site_fract_y
_atom_site_fract_z
Sc1 Sc 0.0000 0.0000 0.0000
Cr1 Cr 0.0000 0.0000 0.5000
Hg1 Hg 0.2500 0.2500 0.2500



(7)
# ScCrHg2 | Alexandria | PBE | relaxed
# magnetic moment	7.0	μB/cell
# ΔE_f	0.19	eV per formula unit
# distance to the lowest polymorph of the same formula	90	meV per atom
# calculated total energy	-4.09	eV/atom
data_ScCrHg2
_symmetry_space_group_name_H-M 'C m m m'
_symmetry_Int_Tables_number 65
_symmetry_space_group_name_Hall '-C 2 2'
_cell_length_a 6.3005
_cell_length_b 6.3144
_cell_length_c 4.0684
_cell_angle_alpha 90.00
_cell_angle_beta 90.00
_cell_angle_gamma 90.00
loop_
_atom_site_label
_atom_site_type_symbol
_atom_site_fract_x
_atom_site_fract_y
_atom_site_fract_z
Sc1 Sc 0.0000 0.0000 0.0000
Cr1 Cr 0.0000 0.5000 0.0000
Hg1 Hg 0.2500 0.2500 0.5000



(8)
# ScCrHg3 | Alexandria | PBE | relaxed
# magnetic moment	0.0	μB/cell
# ΔE_f	3.44	eV per formula unit
# distance to the lowest polymorph of the same formula	0	meV per atom
# calculated total energy	-2.68	eV/atom
data_ScCrHg3
_symmetry_space_group_name_H-M 'P m -3 m'
_symmetry_Int_Tables_number 221
_symmetry_space_group_name_Hall '-P 4 2 3'
_cell_length_a 4.9909
_cell_length_b 4.9909
_cell_length_c 4.9909
_cell_angle_alpha 90.00
_cell_angle_beta 90.00
_cell_angle_gamma 90.00
loop_
_atom_site_label
_atom_site_type_symbol
_atom_site_fract_x
_atom_site_fract_y
_atom_site_fract_z
Sc1 Sc 0.0000 0.0000 0.0000
Cr1 Cr 0.5000 0.5000 0.5000
Hg1 Hg 0.0000 0.5000 0.5000



(9)
# Sc3CrHg | Alexandria | PBE | relaxed
# magnetic moment	0.0	μB/cell
# ΔE_f	1.58	eV per formula unit
# distance to the lowest polymorph of the same formula	0	meV per atom
# calculated total energy	-5.47	eV/atom
data_Sc3CrHg
_symmetry_space_group_name_H-M 'P m -3 m'
_symmetry_Int_Tables_number 221
_symmetry_space_group_name_Hall '-P 4 2 3'
_cell_length_a 4.8619
_cell_length_b 4.8619
_cell_length_c 4.8619
_cell_angle_alpha 90.00
_cell_angle_beta 90.00
_cell_angle_gamma 90.00
loop_
_atom_site_label
_atom_site_type_symbol
_atom_site_fract_x
_atom_site_fract_y
_atom_site_fract_z
Sc1 Sc 0.0000 0.0000 0.5000
Cr1 Cr 0.0000 0.0000 0.0000
Hg1 Hg 0.5000 0.5000 0.5000



(10)
# ScCrHg2 | Alexandria | PBE | relaxed
# magnetic moment	3.5	μB/cell
# ΔE_f	0.38	eV per formula unit
# distance to the lowest polymorph of the same formula	138	meV per atom
# calculated total energy	-4.04	eV/atom
data_ScCrHg2
_symmetry_space_group_name_H-M 'P m m 2'
_symmetry_Int_Tables_number 25
_cell_length_a 3.4848
_cell_length_b 3.6620
_cell_length_c 6.4280
_cell_angle_alpha 90.00
_cell_angle_beta 90.00
_cell_angle_gamma 90.00
loop_
_symmetry_equiv_pos_as_xyz
'x,y,z'
'-x,-y,z'
'-x,y,z'
'x,-y,z'
loop_
_atom_site_label
_atom_site_type_symbol
_atom_site_fract_x
_atom_site_fract_y
_atom_site_fract_z
Sc1 Sc 0.0000 0.0000 0.0000
Cr1 Cr 0.5000 0.5000 0.2404
Hg1 Hg 0.0000 0.0000 0.4655
Hg2 Hg 0.5000 0.5000 0.7500



(11)
# ScCrHg2 | Alexandria | PBE | relaxed
# magnetic moment	3.8	μB/cell
# ΔE_f	0.08	eV per formula unit
# distance to the lowest polymorph of the same formula	62	meV per atom
# calculated total energy	-4.12	eV/atom
data_ScCrHg2
_symmetry_space_group_name_H-M 'P 1 2/m 1'
_symmetry_Int_Tables_number 10
_cell_length_a 3.4844
_cell_length_b 3.5112
_cell_length_c 6.6242
_cell_angle_alpha 90.00
_cell_angle_beta 90.07
_cell_angle_gamma 90.00
loop_
_symmetry_equiv_pos_as_xyz
'x,y,z'
'-x,-y,-z'
'-x,y,-z'
'x,-y,z'
loop_
_atom_site_label
_atom_site_type_symbol
_atom_site_fract_x
_atom_site_fract_y
_atom_site_fract_z
Sc1 Sc 0.0000 0.0000 0.0000
Cr1 Cr 0.0000 0.0000 0.5000
Hg1 Hg 0.5001 0.5000 0.2622



(12)
# ScCrHg4 | Alexandria | PBE | relaxed
# magnetic moment	14.3	μB/cell
# ΔE_f	1.76	eV per formula unit
# calculated total energy	-2.57	eV/atom
data_ScCrHg4
_symmetry_space_group_name_H-M 'F -4 3 m'
_symmetry_Int_Tables_number 216
_symmetry_space_group_name_Hall 'F -4 2 3'
_cell_length_a 8.1361
_cell_length_b 8.1361
_cell_length_c 8.1361
_cell_angle_alpha 90.00
_cell_angle_beta 90.00
_cell_angle_gamma 90.00
loop_
_atom_site_label
_atom_site_type_symbol
_atom_site_fract_x
_atom_site_fract_y
_atom_site_fract_z
Sc1 Sc 0.0000 0.0000 0.0000
Cr1 Cr 0.2500 0.2500 0.7500
Hg1 Hg 0.1250 0.1250 0.3750